# 1
# Er2HfPd9, relaxed, DFT PBE
# Calculated total energy in eV/atom: -6.389
# Formation energy in meV per atom: -904.8
data_Er2HfPd9
_space_group_name_H-M_alt 'P 4/m m m'
_space_group_IT_number 123
_space_group_name_Hall '-P 4 2'
_cell_length_a 4.0643
_cell_length_b 4.0643
_cell_length_c 12.2544
_cell_angle_alpha 90.00
_cell_angle_beta 90.00
_cell_angle_gamma 90.00
loop_
_atom_site_label
_atom_site_type_symbol
_atom_site_fract_x
_atom_site_fract_y
_atom_site_fract_z
Er1 Er 0.0000 0.0000 0.1683
Hf1 Hf 0.0000 0.0000 0.5000
Pd1 Pd 0.0000 0.5000 0.0000
Pd2 Pd 0.0000 0.5000 0.3413
Pd3 Pd 0.5000 0.5000 0.1709
Pd4 Pd 0.5000 0.5000 0.5000

# 2
# Sc3AuN, relaxed, DFT PBE
# Calculated total energy in eV/atom: -7.035
# Formation energy from raw total energies in meV per atom: -915
data_Sc3AuN
_space_group_name_H-M_alt 'C m c e'
_space_group_IT_number 64
_space_group_name_Hall '-C 2ac 2'
_cell_length_a 9.1496
_cell_length_b 12.9186
_cell_length_c 6.2739
_cell_angle_alpha 90.00
_cell_angle_beta 90.00
_cell_angle_gamma 90.00
loop_
_atom_site_label
_atom_site_type_symbol
_atom_site_fract_x
_atom_site_fract_y
_atom_site_fract_z
Sc1 Sc 0.0000 0.1150 0.1954
Sc2 Sc 0.2249 0.0000 0.5000
Sc3 Sc 0.2500 0.2259 0.7500
Au1 Au 0.0000 0.1039 0.7459
N1 N 0.2500 0.1161 0.2500

# 3
# Nd4CdAg2Ru, relaxed, DFT PBE
# Calculated total energy in eV/atom: -4.640
# Formation energy in meV per atom: -269.6
data_Nd4CdAg2Ru
_space_group_name_H-M_alt 'R -3 m'
_space_group_IT_number 166
_space_group_name_Hall '-R 3 2"'
_cell_length_a 5.2929
_cell_length_b 5.2929
_cell_length_c 25.4794
_cell_angle_alpha 90.00
_cell_angle_beta 90.00
_cell_angle_gamma 120.00
loop_
_atom_site_label
_atom_site_type_symbol
_atom_site_fract_x
_atom_site_fract_y
_atom_site_fract_z
Nd1 Nd 0.0000 0.0000 0.1137
Nd2 Nd 0.0000 0.0000 0.3664
Cd1 Cd 0.0000 0.0000 0.5000
Ag1 Ag 0.0000 0.0000 0.2400
Ru1 Ru 0.0000 0.0000 0.0000